GaBSe2: relaxed, GGA-PBE.

Unit cell a=4.615 b=4.615 c=4.615 alpha=60.00 beta=60.00 gamma=60.00
Element x y z (fractional)
Se (0.750, 0.750, 0.750)
Se (0.250, 0.250, 0.250)
Ga (0.500, 0.500, 0.500)
B (0.000, 0.000, 0.000)

Formation energy without anion corrections (meV per atom): 940
Fermi-level density of states (states/eV/atom): 0.47
ΔE to the lowest computed polymorph (meV per atom): 1162